Material: PdPt3I
Method: DFT, PBE-GGA
State: relaxed

Cell: 4.915 4.915 4.915 Å, 90.00 90.00 90.00°
Positions (direct):
Pt 0.000 0.000 0.500
I 0.000 0.000 0.000
Pt 0.000 0.500 0.000
Pt 0.500 0.000 0.000
Pd 0.500 0.500 0.500

Computed properties:
- distance to the lowest polymorph of the same formula (eV per atom) = 0.000
- symmetry = Pm-3m, No. 221